No. 1
Material: ScIn2FeAs
Method: DFT, PBE
State: optimized geometry

Unit cell a=5.139 b=5.139 c=4.267 alpha=90.00 beta=90.00 gamma=90.00
Fractional positions:
Sc: 0.000 0.000 0.000
In: 0.000 0.500 0.500
In: 0.500 0.000 0.500
Fe: 0.000 0.000 0.500
As: 0.500 0.500 0.000

- energy of formation (meV per atom) = 209.3
- calculated volume (Å³ per cell) = 112.7
- SG = P4/mmm



No. 2
Material: InFeAsSe2
Method: DFT, PBE
State: optimized geometry

Unit cell a=4.926 b=4.926 c=4.557 alpha=90.00 beta=90.00 gamma=90.00
Fractional positions:
In: 0.000 0.000 0.000
Fe: 0.500 0.500 0.500
As: 0.500 0.500 0.000
Se: 0.000 0.500 0.500
Se: 0.500 0.000 0.500

- uncorrected formation energy (eV per atom) = 0.19
- calculated volume (Å³ per cell) = 110.6
- SG = P4/mmm



No. 3
Material: VInFe2As
Method: DFT, PBE
State: optimized geometry

Unit cell a=4.523 b=4.523 c=4.632 alpha=90.00 beta=90.00 gamma=90.00
Fractional positions:
V: 0.000 0.000 0.000
In: 0.500 0.500 0.500
Fe: 0.000 0.500 0.000
Fe: 0.500 0.000 0.000
As: 0.000 0.000 0.500

- energy of formation (meV per atom) = 802.6
- calculated volume (Å³ per cell) = 94.7
- SG = P4/mmm